# GeH4, relaxed, DFT GGA-PBE
data_GeH4
_space_group_name_H-M_alt 'P 1'
_space_group_IT_number 1
_cell_length_a 7.997
_cell_length_b 4.642
_cell_length_c 7.962
_cell_angle_alpha 90.00
_cell_angle_beta 110.81
_cell_angle_gamma 90.00
loop_
_space_group_symop_operation_xyz
'x,y,z'
loop_
_atom_site_label
_atom_site_fract_x
_atom_site_fract_y
_atom_site_fract_z
_atom_site_occupancy
Ge1 0.248 0.187 0.075 1
Ge2 0.248 0.813 0.575 1
Ge3 0.752 0.187 0.425 1
Ge4 0.752 0.813 0.925 1
H1 0.086 0.203 0.900 1
H2 0.086 0.797 0.400 1
H3 0.203 0.333 0.226 1
H4 0.203 0.667 0.726 1
H5 0.298 0.129 0.625 1
H6 0.298 0.871 0.125 1
H7 0.407 0.341 0.048 1
H8 0.407 0.659 0.548 1
H9 0.593 0.341 0.452 1
H10 0.593 0.659 0.952 1
H11 0.702 0.129 0.875 1
H12 0.702 0.871 0.375 1
H13 0.797 0.333 0.274 1
H14 0.797 0.667 0.774 1
H15 0.914 0.203 0.600 1
H16 0.914 0.797 0.100 1
# **VASP energy**: -3.53 eV per atom

=====

# LiP2Pb, relaxed, DFT GGA-PBE
data_LiP2Pb
_space_group_name_H-M_alt 'P 1'
_space_group_IT_number 1
_cell_length_a 4.264
_cell_length_b 4.019
_cell_length_c 5.409
_cell_angle_alpha 90.00
_cell_angle_beta 107.73
_cell_angle_gamma 90.00
loop_
_space_group_symop_operation_xyz
'x,y,z'
loop_
_atom_site_label
_atom_site_fract_x
_atom_site_fract_y
_atom_site_fract_z
_atom_site_occupancy
Li1 0.000 0.000 0.000 1
P1 0.389 0.500 0.896 1
P2 0.394 0.000 0.675 1
Pb1 0.796 0.500 0.460 1
# **Calculated formation energy**: 0.05 eV/f.u.
# **VASP energy**: -4.10 eV per atom

=====

# CoPW2, relaxed, DFT GGA-PBE
data_CoPW2
_space_group_name_H-M_alt 'P 1'
_space_group_IT_number 1
_cell_length_a 2.872
_cell_length_b 2.872
_cell_length_c 6.516
_cell_angle_alpha 90.00
_cell_angle_beta 90.00
_cell_angle_gamma 90.00
loop_
_space_group_symop_operation_xyz
'x,y,z'
loop_
_atom_site_label
_atom_site_fract_x
_atom_site_fract_y
_atom_site_fract_z
_atom_site_occupancy
Co1 0.000 0.000 0.000 1
P1 0.000 0.000 0.500 1
W1 0.500 0.500 0.264 1
W2 0.500 0.500 0.736 1
# **Calculated formation energy**: 0.01 eV/f.u.
# **VASP energy**: -9.60 eV per atom

=====

# Cr2Os, relaxed, DFT GGA-PBE
data_Cr2Os
_space_group_name_H-M_alt 'P 1'
_space_group_IT_number 1
_cell_length_a 4.724
_cell_length_b 4.724
_cell_length_c 15.374
_cell_angle_alpha 90.00
_cell_angle_beta 90.00
_cell_angle_gamma 120.00
loop_
_space_group_symop_operation_xyz
'x,y,z'
loop_
_atom_site_label
_atom_site_fract_x
_atom_site_fract_y
_atom_site_fract_z
_atom_site_occupancy
Cr1 0.000 0.500 0.000 1
Cr2 0.000 0.500 0.500 1
Cr3 0.162 0.325 0.250 1
Cr4 0.162 0.838 0.250 1
Cr5 0.325 0.162 0.750 1
Cr6 0.333 0.667 0.125 1
Cr7 0.333 0.667 0.375 1
Cr8 0.500 0.000 0.000 1
Cr9 0.500 0.000 0.500 1
Cr10 0.500 0.500 0.000 1
Cr11 0.500 0.500 0.500 1
Cr12 0.667 0.333 0.625 1
Cr13 0.667 0.333 0.875 1
Cr14 0.675 0.838 0.250 1
Cr15 0.838 0.162 0.750 1
Cr16 0.838 0.675 0.750 1
Os1 0.000 0.000 0.094 1
Os2 0.000 0.000 0.406 1
Os3 0.000 0.000 0.594 1
Os4 0.000 0.000 0.906 1
Os5 0.333 0.667 0.657 1
Os6 0.333 0.667 0.843 1
Os7 0.667 0.333 0.157 1
Os8 0.667 0.333 0.343 1
# **Calculated formation energy**: 0.05 eV/f.u.
# **VASP energy**: -10.14 eV per atom

=====

# PmThS4, relaxed, DFT GGA-PBE
data_PmThS4
_space_group_name_H-M_alt 'P 1'
_space_group_IT_number 1
_cell_length_a 7.435
_cell_length_b 7.435
_cell_length_c 7.059
_cell_angle_alpha 112.88
_cell_angle_beta 112.88
_cell_angle_gamma 102.57
loop_
_space_group_symop_operation_xyz
'x,y,z'
loop_
_atom_site_label
_atom_site_fract_x
_atom_site_fract_y
_atom_site_fract_z
_atom_site_occupancy
Pm1 0.021 0.979 0.750 1
Pm2 0.979 0.021 0.250 1
Th1 0.370 0.630 0.250 1
Th2 0.630 0.370 0.750 1
S1 0.042 0.684 0.914 1
S2 0.239 0.362 0.752 1
S3 0.316 0.958 0.586 1
S4 0.362 0.239 0.252 1
S5 0.638 0.761 0.748 1
S6 0.684 0.042 0.414 1
S7 0.761 0.638 0.248 1
S8 0.958 0.316 0.086 1
# **VASP energy**: -6.48 eV per atom

=====

# NpB6, relaxed, DFT GGA-PBE
data_NpB6
_space_group_name_H-M_alt 'P 1'
_space_group_IT_number 1
_cell_length_a 3.018
_cell_length_b 3.018
_cell_length_c 6.565
_cell_angle_alpha 90.00
_cell_angle_beta 90.00
_cell_angle_gamma 90.00
loop_
_space_group_symop_operation_xyz
'x,y,z'
loop_
_atom_site_label
_atom_site_fract_x
_atom_site_fract_y
_atom_site_fract_z
_atom_site_occupancy
Np1 0.000 0.000 0.000 1
B1 0.000 0.500 0.367 1
B2 0.000 0.500 0.633 1
B3 0.500 0.000 0.367 1
B4 0.500 0.000 0.633 1
B5 0.500 0.500 0.233 1
B6 0.500 0.500 0.767 1
# **Calculated formation energy**: 0.81 eV/f.u.
# **VASP energy**: -7.46 eV per atom
# **ΔE to the lowest computed polymorph**: 378 meV/atom